# 1
PBE CsTaIO2, relaxed; size of the total moment = 0.00 μB per atom; offset from the most stable computed form = 0 meV/atom; N(E_F) = 1.7 states/eV/f.u.; SG = P4/mmm, No. 123; uncorrected formation energy = -1121 meV/atom
1.0
-2.981 1.623 -2.750
2.533 -1.090 -3.388
-2.570 -5.162 -0.261
Cs I O Ta
1 1 2 1
direct
0.500 0.500 0.500
0.000 0.000 0.500
0.000 0.500 0.000
0.500 0.000 0.000
0.000 0.000 0.000

***

# 2
PBE ScHg2Br, relaxed; size of the total moment = 0.00 μB per atom; offset from the most stable computed form = 14 meV/atom; N(E_F) = 3.0 states/eV/f.u.; SG = Imm2, No. 44; uncorrected formation energy = -514 meV/atom
1.0
7.845 0.075 0.015
5.486 5.608 -0.015
-6.228 -3.868 2.793
Br Hg Sc
1 2 1
direct
0.336 0.836 0.500
0.028 0.028 0.000
0.657 0.157 0.500
0.479 0.479 0.000

***

# 3
PBE AlGa2HgS6, relaxed; size of the total moment = 0.10 μB per atom; SG = C2/c, No. 15; uncorrected formation energy = -479 meV/atom
1.0
-5.707 -0.835 -3.580
1.521 -6.000 -6.544
-5.239 -5.984 4.228
Al Ga Hg S
2 4 2 12
direct
0.250 0.167 0.833
0.750 0.833 0.167
0.334 0.773 0.608
0.166 0.392 0.227
0.666 0.227 0.392
0.834 0.608 0.773
0.250 0.796 0.204
0.750 0.204 0.796
0.127 0.963 0.814
0.373 0.186 0.037
0.873 0.037 0.186
0.627 0.814 0.963
0.422 0.891 0.375
0.078 0.625 0.109
0.578 0.109 0.625
0.922 0.375 0.891
0.084 0.668 0.562
0.416 0.438 0.332
0.916 0.332 0.438
0.584 0.562 0.668

***

# 4
PBE Lu2HfSn, relaxed; size of the total moment = 0.00 μB per atom; offset from the most stable computed form = 355 meV/atom; N(E_F) = 5.5 states/eV/f.u.; energy of formation from the pure elements = 0.098 eV/atom; SG = R-3m, No. 166
1.0
-3.225 -0.312 0.877
-1.837 -2.526 -1.229
1.330 -7.419 8.674
Lu Hf Sn
2 1 1
direct
0.091 0.091 0.727
0.909 0.909 0.273
0.500 0.500 0.500
0.000 0.000 0.000

***

# 5
PBE Cd4InGa, relaxed; size of the total moment = 0.00 μB per atom; offset from the most stable computed form = 61 meV/atom; N(E_F) = 2.3 states/eV/f.u.; energy of formation from the pure elements = 0.091 eV/atom; SG = F-43m, No. 216
1.0
-4.839 3.335 0.297
-3.059 0.307 5.018
0.034 4.959 3.168
Cd Ga In
4 1 1
direct
0.625 0.625 0.124
0.625 0.124 0.625
0.625 0.625 0.625
0.124 0.625 0.625
0.000 0.000 0.000
0.250 0.250 0.250

***

# 6
PBE ZrCd2Pd2, relaxed; size of the total moment = 0.00 μB per atom; offset from the most stable computed form = 116 meV/atom; N(E_F) = 3.9 states/eV/f.u.; energy of formation from the pure elements = -0.270 eV/atom; SG = P4/mbm, No. 127
1.0
7.956 0.000 0.000
0.000 7.956 0.000
0.000 0.000 2.981
Zr Pd Cd
2 4 4
direct
0.000 0.000 0.000
0.500 0.500 0.000
0.176 0.676 0.500
0.676 0.824 0.500
0.824 0.324 0.500
0.324 0.176 0.500
0.376 0.876 0.000
0.876 0.624 0.000
0.624 0.124 0.000
0.124 0.376 0.000

***

# 7
PBE CeTh, relaxed; size of the total moment = 0.00 μB per atom; offset from the most stable computed form = 34 meV/atom; N(E_F) = 4.4 states/eV/f.u.; energy of formation from the pure elements = 0.055 eV/atom; SG = Cmcm, No. 63
1.0
-0.350 -0.064 3.410
0.606 -5.168 -0.035
6.736 0.797 -1.010
Ce Th
2 2
direct
0.553 0.750 0.607
0.447 0.250 0.393
0.813 0.750 0.125
0.187 0.250 0.875

***

# 8
PBE ZnHgIBr2, relaxed; size of the total moment = 0.00 μB per atom; N(E_F) = 6.1 states/eV/f.u.; SG = P4/mmm, No. 123; uncorrected formation energy = 62 meV/atom
1.0
-2.762 -2.983 -3.500
3.856 -4.964 1.189
-3.271 -1.596 3.942
I Zn Hg Br
1 1 1 2
direct
0.000 0.500 0.000
0.500 0.500 0.500
0.000 0.000 0.000
0.000 0.000 0.500
0.500 0.000 0.000

***

# 9
PBE CaCo2Mo, relaxed; size of the total moment = 0.00 μB per atom; offset from the most stable computed form = 0 meV/atom; N(E_F) = 3.1 states/eV/f.u.; energy of formation from the pure elements = 0.217 eV/atom; SG = P4/mmm, No. 123
1.0
-1.301 2.292 -1.543
-0.693 -1.920 -2.267
-6.802 -3.327 0.795
Mo Co Ca
1 2 1
direct
0.500 0.250 0.250
0.000 0.933 0.067
0.000 0.567 0.433
0.500 0.750 0.750

***

# 10
PBE DyLu3, relaxed; size of the total moment = 0.00 μB per atom; offset from the most stable computed form = 36 meV/atom; N(E_F) = 6.4 states/eV/f.u.; energy of formation from the pure elements = 0.034 eV/atom; SG = Pm-3m, No. 221
1.0
4.910 0.000 0.000
0.000 4.910 0.000
0.000 0.000 4.910
Lu Dy
3 1
direct
0.000 0.500 0.500
0.500 0.000 0.500
0.500 0.500 0.000
0.000 0.000 0.000

***

# 11
PBE MoSe, relaxed; size of the total moment = 0.00 μB per atom; offset from the most stable computed form = 0 meV/atom; N(E_F) = 0.8 states/eV/f.u.; SG = Pmmn, No. 59; uncorrected formation energy = -279 meV/atom
1.0
4.264 0.000 0.000
0.000 3.356 -0.001
0.000 0.007 6.350
Mo Se
2 2
direct
0.000 0.125 0.897
0.500 0.625 0.853
0.000 0.625 0.603
0.500 0.125 0.147

***

# 12
PBE TlPd7Au2, relaxed; size of the total moment = 0.00 μB per atom; N(E_F) = 16.8 states/eV/f.u.; energy of formation from the pure elements = 0.368 eV/atom; SG = Cmmm, No. 65
1.0
4.450 0.000 0.000
0.000 7.596 -0.448
0.000 -3.753 6.619
Tl Pd Au
1 7 2
direct
0.000 0.000 0.000
0.000 0.804 0.196
0.000 0.196 0.804
0.500 0.076 0.286
0.500 0.924 0.714
0.500 0.286 0.076
0.500 0.714 0.924
0.500 0.500 0.500
0.500 0.701 0.299
0.500 0.299 0.701

***

# 13
PBE MgTa2Ir, relaxed; size of the total moment = 0.00 μB per atom; N(E_F) = 3.3 states/eV/f.u.; energy of formation from the pure elements = -0.088 eV/atom; SG = P4/mmm, No. 123
1.0
2.876 0.039 0.000
-0.044 2.876 0.000
0.000 0.000 8.614
Ir Mg Ta
1 1 2
direct
0.500 0.500 0.250
0.500 0.500 0.750
0.000 0.000 0.028
0.000 0.000 0.472

***

# 14
PBE RePb3O6, relaxed; size of the total moment = 0.04 μB per atom; offset from the most stable computed form = 0 meV/atom; N(E_F) = 3.6 states/eV/f.u.; SG = R-3, No. 148; uncorrected formation energy = -1291 meV/atom
1.0
-4.837 4.815 -1.483
-4.623 -5.236 0.015
-0.508 1.016 6.892
Re Pb O
2 6 12
direct
0.000 0.000 0.000
0.500 0.500 0.500
0.447 0.936 0.747
0.936 0.747 0.447
0.253 0.553 0.064
0.747 0.447 0.936
0.064 0.253 0.553
0.553 0.064 0.253
0.273 0.963 0.050
0.037 0.950 0.727
0.584 0.764 0.457
0.950 0.727 0.037
0.457 0.584 0.764
0.236 0.543 0.416
0.764 0.457 0.584
0.543 0.416 0.236
0.050 0.273 0.963
0.416 0.236 0.543
0.963 0.050 0.273
0.727 0.037 0.950

***

# 15
PBE NpU3Sb2, relaxed; size of the total moment = 0.60 μB per atom; N(E_F) = 13.9 states/eV/f.u.; SG = Cm, No. 8; uncorrected formation energy = -277 meV/atom
1.0
-1.725 2.894 1.550
-5.202 -1.799 2.008
0.428 -1.153 7.068
Np U Sb
1 3 2
direct
0.188 0.253 0.371
0.814 0.745 0.627
0.812 0.243 0.133
0.185 0.759 0.870
0.500 0.252 0.749
0.501 0.749 0.249

***

# 16
PBE CaHgPbCl6, relaxed; size of the total moment = 0.00 μB per atom; N(E_F) = 0.0 states/eV/f.u.; SG = P-31c, No. 163; uncorrected formation energy = -1356 meV/atom
1.0
-6.720 0.843 1.645
3.543 -5.454 2.504
3.344 6.836 10.159
Ca Hg Pb Cl
2 2 2 12
direct
0.667 0.333 0.250
0.333 0.667 0.750
0.333 0.667 0.250
0.667 0.333 0.750
0.000 0.000 0.000
0.000 0.000 0.500
0.649 0.653 0.129
0.005 0.351 0.129
0.351 0.005 0.629
0.995 0.649 0.871
0.347 0.351 0.371
0.005 0.653 0.371
0.653 0.005 0.871
0.649 0.995 0.371
0.995 0.347 0.629
0.347 0.995 0.129
0.653 0.649 0.629
0.351 0.347 0.871

***

# 17
PBE La2UGaN5, relaxed; size of the total moment = 0.00 μB per atom; SG = Cmc2_1, No. 36; uncorrected formation energy = -1147 meV/atom
1.0
-0.006 -0.717 3.407
-6.873 -1.514 -2.109
2.857 -10.034 -2.108
La U Ga N
4 2 2 10
direct
0.874 0.749 0.800
0.107 0.214 0.695
0.126 0.251 0.300
0.893 0.786 0.195
0.788 0.576 0.508
0.212 0.424 0.008
0.513 0.025 0.970
0.487 0.975 0.470
0.364 0.728 0.007
0.704 0.409 0.883
0.498 0.995 0.787
0.282 0.564 0.634
0.944 0.888 0.540
0.636 0.272 0.507
0.296 0.591 0.383
0.502 0.005 0.287
0.718 0.436 0.134
0.056 0.112 0.040

***

# 18
PBE Y5Ag, relaxed; size of the total moment = 0.00 μB per atom; offset from the most stable computed form = 676 meV/atom; N(E_F) = 10.0 states/eV/f.u.; energy of formation from the pure elements = 0.595 eV/atom; SG = P6/mmm, No. 191
1.0
2.564 5.393 -2.240
-6.187 -1.224 -0.949
-1.300 2.694 4.998
Y Ag
5 1
direct
0.000 0.500 0.500
0.333 0.667 0.000
0.500 0.000 0.500
0.500 0.500 0.500
0.667 0.333 0.000
0.000 0.000 0.000

***

# 19
PBE ZnHgBr2, relaxed; size of the total moment = 0.00 μB per atom; offset from the most stable computed form = 522 meV/atom; N(E_F) = 2.6 states/eV/f.u.; SG = Pmmm, No. 47; uncorrected formation energy = -105 meV/atom
1.0
4.114 0.000 0.000
0.000 7.499 0.000
0.000 0.000 4.043
Br Hg Zn
2 1 1
direct
0.000 0.000 0.000
0.500 0.500 0.000
0.500 0.000 0.500
0.000 0.500 0.500

***

# 20
PBE CrAgAsBr2, relaxed; size of the total moment = 0.44 μB per atom; offset from the most stable computed form = 0 meV/atom; N(E_F) = 3.5 states/eV/f.u.; SG = P4/mmm, No. 123; uncorrected formation energy = 179 meV/atom
1.0
-0.246 -0.640 5.145
5.090 -1.008 0.118
0.906 4.645 0.621
Cr As Br Ag
1 1 2 1
direct
0.000 0.000 0.000
0.000 0.000 0.500
0.000 0.500 0.000
0.500 0.000 0.000
0.500 0.500 0.500

***

# 21
PBE Cu3Hg12Se5, relaxed; size of the total moment = 0.00 μB per atom; N(E_F) = 1.9 states/eV/f.u.; SG = Ia-3d, No. 230; uncorrected formation energy = 33 meV/atom
1.0
14.015 0.000 0.000
-4.672 13.213 0.000
-4.672 -6.607 11.443
Cu Se Hg
12 20 48
direct
0.750 0.375 0.125
0.875 0.750 0.125
0.375 0.750 0.625
0.250 0.125 0.375
0.875 0.125 0.250
0.375 0.625 0.250
0.625 0.375 0.750
0.125 0.875 0.750
0.750 0.875 0.625
0.625 0.250 0.375
0.125 0.250 0.875
0.250 0.625 0.875
0.125 0.375 0.250
0.000 0.500 0.000
0.000 0.000 0.000
0.375 0.250 0.125
0.500 0.000 0.500
0.500 0.500 0.000
0.125 0.750 0.375
0.750 0.125 0.875
0.750 0.625 0.375
0.375 0.125 0.750
0.625 0.875 0.250
0.500 0.500 0.500
0.500 0.000 0.000
0.000 0.000 0.500
0.250 0.375 0.625
0.250 0.875 0.125
0.000 0.500 0.500
0.875 0.250 0.625
0.625 0.750 0.875
0.875 0.625 0.750
0.746 0.126 0.068
0.323 0.568 0.442
0.932 0.374 0.254
0.568 0.246 0.126
0.619 0.746 0.677
0.932 0.558 0.177
0.323 0.754 0.381
0.058 0.881 0.126
0.558 0.932 0.677
0.746 0.619 0.177
0.754 0.432 0.374
0.823 0.942 0.068
0.126 0.746 0.568
0.374 0.442 0.119
0.119 0.942 0.374
0.381 0.126 0.558
0.119 0.177 0.246
0.432 0.677 0.058
0.823 0.881 0.254
0.126 0.381 0.058
0.374 0.932 0.754
0.558 0.626 0.381
0.942 0.823 0.568
0.754 0.323 0.881
0.442 0.374 0.619
0.058 0.177 0.432
0.246 0.677 0.119
0.177 0.119 0.746
0.626 0.068 0.246
0.874 0.619 0.942
0.568 0.323 0.942
0.619 0.874 0.442
0.881 0.823 0.754
0.881 0.058 0.626
0.874 0.254 0.432
0.177 0.058 0.932
0.626 0.558 0.881
0.442 0.068 0.323
0.254 0.381 0.823
0.246 0.568 0.626
0.942 0.119 0.874
0.677 0.246 0.619
0.432 0.754 0.874
0.068 0.442 0.823
0.381 0.254 0.323
0.068 0.626 0.746
0.677 0.432 0.558
0.254 0.874 0.932

***

Energy / eV/atom: -5.96; -2.67; -3.96; -5.65; -1.48; -4.42; -6.62; -1.23; -6.54; -4.51; -7.44; -4.16; -8.63; -6.62; -9.45; -3.25; -8.46; -5.27; -1.34; -3.91; -1.63